# Nd14ScTl

A relaxed structure of Nd14ScTl (GGA-PBE, Alexandria via LeMat-Bulk).

The calculation puts the density of states at the Fermi level at 41.65 states/eV/cell. The total energy is -151.614 eV per cell.

The structure belongs to space group Amm2 (No. 38); the cell edges are 10.321, 10.192 and 10.193 Å and the angles 90.00°, 90.00° and 90.00°. The distinct sites, in fractional coordinates, are Nd at (0.000, 0.000, 0.000), Nd at (0.000, 0.000, 0.500), Nd at (0.000, 0.250, 0.250), Nd at (0.256, 0.000, 0.251), Nd at (0.257, 0.000, 0.749), Nd at (0.257, 0.249, 0.500), Nd at (0.500, 0.249, 0.250), Sc at (0.500, 0.000, 0.500) and Tl at (0.500, 0.000, 0.000).

# NdSc2Tl

A relaxed structure of NdSc2Tl (GGA-PBE, Alexandria via LeMat-Bulk).

The value obtained for the energy above the lowest structure with this stoichiometry is 0.141 eV per atom. The calculation puts the density of states at the Fermi level at 15.26 states/eV/cell. The total energy is -59.912 eV per cell.

The structure belongs to space group R3m (No. 160, hexagonal axes); the cell edges are 3.4430, 3.4430 and 31.7483 Å and the angles 90.00°, 90.00° and 120.00°. The distinct sites, in fractional coordinates, are Nd at (0.0000, 0.0000, 0.0000), Sc at (0.0000, 0.0000, 0.2441), Sc at (0.0000, 0.0000, 0.4228) and Tl at (0.0000, 0.0000, 0.8336).